Y2ScRe at its PBEsol-relaxed geometry, computed with meta-GGA SCAN.

Crystal system: monoclinic
Space group: P2/m, No. 10
Energy of formation, meV per atom: 304
Relative energy among the computed polymorphs, meV/atom: 26
D(E_F), states/eV per cell: 4.8

Lattice parameters (Å, degrees): 3.277 4.532 6.227 90.00 103.80 90.00
Element x y z (fractional)
Y 0.096 0.000 0.275
Y 0.904 0.000 0.725
Sc 0.500 0.500 0.000
Re 0.500 0.500 0.500